Entry 1:
Pm2PrHoH | Alexandria via LeMat-Bulk | PBE | optimized geometry; uncorrected energy = -4.616 eV per atom; SG = P4/mmm; crystal system = tetragonal; volume = 133.4 Å³/f.u.
1.0
5.122 0.000 0.000
0.000 5.122 0.000
0.000 0.000 5.084
Pm Pr Ho H
2 1 1 1
Direct
0.000 0.500 0.000
0.500 0.000 0.000
0.000 0.000 0.500
0.500 0.500 0.500
0.500 0.500 0.000

Entry 2:
PmHoH8Rh2 | Alexandria via LeMat-Bulk | PBE | optimized geometry; uncorrected energy = -4.545 eV per atom; SG = R-3; crystal system = trigonal; volume = 121.8 Å³/f.u.
1.0
2.451 1.415 5.853
-2.451 1.415 5.853
0.000 -2.830 5.853
Pm Ho H Rh
1 1 8 2
Direct
0.000 0.000 0.000
0.500 0.500 0.500
0.062 0.864 0.392
0.136 0.608 0.938
0.323 0.323 0.323
0.392 0.062 0.864
0.608 0.938 0.136
0.677 0.677 0.677
0.864 0.392 0.062
0.938 0.136 0.608
0.231 0.231 0.231
0.769 0.769 0.769